(1)
# AcThBiTe

A relaxed structure of AcThBiTe (GGA-PBE, Alexandria).

a = 4.807 Å, b = 4.807 Å, c = 12.047 Å
α = 90.00°, β = 90.00°, γ = 90.00°
Positions (direct):
1 Ac 0.250 0.250 0.198
2 Ac 0.750 0.750 0.802
3 Th 0.250 0.750 0.500
4 Th 0.750 0.250 0.500
5 Bi 0.250 0.250 0.702
6 Bi 0.750 0.750 0.298
7 Te 0.250 0.750 0.000
8 Te 0.750 0.250 0.000

## Properties
The value obtained for the energy above the most stable polymorph in this dataset is 0.560 eV/f.u. For the total magnetization, the calculation gives 0.0000 μB per atom. The total energy comes out at -5.40 eV per atom.

=====

(2)
# Ca2FeRhN

A relaxed structure of Ca2FeRhN (GGA-PBE, Alexandria).

a = 4.958 Å, b = 4.958 Å, c = 3.524 Å
α = 90.00°, β = 90.00°, γ = 90.00°
Positions (direct):
1 Ca 0.000 0.500 0.000
2 Ca 0.500 0.000 0.000
3 Fe 0.000 0.000 0.500
4 Rh 0.500 0.500 0.500
5 N 0.000 0.000 0.000

## Properties
For the total magnetization, the calculation gives 0.1336 μB per atom. The total energy comes out at -5.96 eV per atom.